# HoInGa2Ni5 | Alexandria | PBE-GGA | optimized geometry
data_HoInGa2Ni5
_cell_length_a 3.9299
_cell_length_b 3.9299
_cell_length_c 8.8877
_cell_angle_alpha 90.00
_cell_angle_beta 90.00
_cell_angle_gamma 90.00
_symmetry_space_group_name_H-M 'P 4/m m m'
_symmetry_Int_Tables_number 123
_symmetry_space_group_name_Hall '-P 4 2'
loop_
_atom_site_label
_atom_site_fract_x
_atom_site_fract_y
_atom_site_fract_z
Ho1 0.0000 0.0000 0.0000
In1 0.0000 0.0000 0.5000
Ga1 0.5000 0.5000 0.3587
Ni1 0.0000 0.5000 0.2130
Ni2 0.5000 0.5000 0.0000
# Energy of formation, eV/atom: -0.1542


# CaMgIn2 | Alexandria | PBE-GGA | optimized geometry
data_CaMgIn2
_cell_length_a 4.8756
_cell_length_b 4.8756
_cell_length_c 4.3262
_cell_angle_alpha 90.00
_cell_angle_beta 90.00
_cell_angle_gamma 90.00
_symmetry_space_group_name_H-M 'P 4/m m m'
_symmetry_Int_Tables_number 123
_symmetry_space_group_name_Hall '-P 4 2'
loop_
_atom_site_label
_atom_site_fract_x
_atom_site_fract_y
_atom_site_fract_z
Ca1 0.0000 0.0000 0.0000
Mg1 0.5000 0.5000 0.0000
In1 0.0000 0.5000 0.5000
# Energy of formation, eV/atom: -0.3014


# TlInHg2I4 | Alexandria | PBE-GGA | optimized geometry
data_TlInHg2I4
_cell_length_a 7.3609
_cell_length_b 7.7379
_cell_length_c 7.9766
_cell_angle_alpha 96.13
_cell_angle_beta 100.79
_cell_angle_gamma 116.35
_symmetry_space_group_name_H-M 'P 1'
_symmetry_Int_Tables_number 1
loop_
_symmetry_equiv_pos_as_xyz
'x,y,z'
loop_
_atom_site_label
_atom_site_fract_x
_atom_site_fract_y
_atom_site_fract_z
Tl1 0.0000 0.0000 0.0000
In1 0.5924 0.2244 0.6726
Hg1 0.1797 0.4396 0.2317
Hg2 0.6421 0.7146 0.1885
I1 0.2544 0.9297 0.4150
I2 0.5334 0.1357 0.9937
I3 0.6286 0.5910 0.6496
I4 0.9595 0.2239 0.6421
# E_form (uncorrected), eV per atom: -0.40


# GdGaCo4 | Alexandria | PBE-GGA | optimized geometry
data_GdGaCo4
_cell_length_a 6.9479
_cell_length_b 6.9479
_cell_length_c 6.9479
_cell_angle_alpha 90.00
_cell_angle_beta 90.00
_cell_angle_gamma 90.00
_symmetry_space_group_name_H-M 'F -4 3 m'
_symmetry_Int_Tables_number 216
_symmetry_space_group_name_Hall 'F -4 2 3'
loop_
_atom_site_label
_atom_site_fract_x
_atom_site_fract_y
_atom_site_fract_z
Gd1 0.0000 0.0000 0.0000
Ga1 0.2500 0.2500 0.7500
Co1 0.1239 0.1239 0.3761
# Energy of formation, eV/atom: -0.1371


# TbHf2Sc | Alexandria | PBE-GGA | optimized geometry
data_TbHf2Sc
_cell_length_a 3.2715
_cell_length_b 3.2715
_cell_length_c 31.7710
_cell_angle_alpha 90.00
_cell_angle_beta 90.00
_cell_angle_gamma 120.00
_symmetry_space_group_name_H-M 'R 3 m'
_symmetry_Int_Tables_number 160
_symmetry_space_group_name_Hall 'R 3 -2"'
loop_
_atom_site_label
_atom_site_fract_x
_atom_site_fract_y
_atom_site_fract_z
Tb1 0.0000 0.0000 0.0000
Hf1 0.0000 0.0000 0.2472
Hf2 0.0000 0.0000 0.4192
Sc1 0.0000 0.0000 0.8336
# Polymorph energy (0 for the lowest one), meV/atom: 0.0
# Energy of formation, eV/atom: 0.1328


# RbTiTeI2 | Alexandria | PBE-GGA | optimized geometry
data_RbTiTeI2
_cell_length_a 6.5313
_cell_length_b 6.5313
_cell_length_c 6.4867
_cell_angle_alpha 90.00
_cell_angle_beta 90.00
_cell_angle_gamma 90.00
_symmetry_space_group_name_H-M 'P 4/m m m'
_symmetry_Int_Tables_number 123
_symmetry_space_group_name_Hall '-P 4 2'
loop_
_atom_site_label
_atom_site_fract_x
_atom_site_fract_y
_atom_site_fract_z
Rb1 0.0000 0.0000 0.0000
Ti1 0.5000 0.5000 0.5000
Te1 0.0000 0.0000 0.5000
I1 0.0000 0.5000 0.0000
# Polymorph energy (0 for the lowest one), meV/atom: 1471.8
# E_form (uncorrected), eV per atom: 0.66


# Tb2Sm3Er6Pb | Alexandria | PBE-GGA | optimized geometry
data_Tb2Sm3Er6Pb
_cell_length_a 6.1022
_cell_length_b 10.5699
_cell_length_c 11.6466
_cell_angle_alpha 90.00
_cell_angle_beta 100.13
_cell_angle_gamma 90.00
_symmetry_space_group_name_H-M 'C 1 2/m 1'
_symmetry_Int_Tables_number 12
loop_
_symmetry_equiv_pos_as_xyz
'x,y,z'
'-x,-y,-z'
'-x,y,-z'
'x,-y,z'
'x+1/2,y+1/2,z'
'-x+1/2,-y+1/2,-z'
'-x+1/2,y+1/2,-z'
'x+1/2,-y+1/2,z'
loop_
_atom_site_label
_atom_site_fract_x
_atom_site_fract_y
_atom_site_fract_z
Tb1 0.0000 0.1660 0.0000
Sm1 0.0000 0.0000 0.5000
Sm2 0.0000 0.3327 0.5000
Er1 0.2450 0.3359 0.2460
Er2 0.2470 0.5000 0.7527
Pb1 0.0000 0.5000 0.0000
# Energy of formation, eV/atom: -0.0536


# BaHoRhO6 | Alexandria | PBE-GGA | optimized geometry
data_BaHoRhO6
_cell_length_a 5.5865
_cell_length_b 5.5865
_cell_length_c 5.6743
_cell_angle_alpha 90.00
_cell_angle_beta 90.00
_cell_angle_gamma 120.00
_symmetry_space_group_name_H-M 'P 3 1 2'
_symmetry_Int_Tables_number 149
loop_
_symmetry_equiv_pos_as_xyz
'x,y,z'
'-y,x-y,z'
'-x+y,-x,z'
'-y,-x,-z'
'-x+y,y,-z'
'x,x-y,-z'
loop_
_atom_site_label
_atom_site_fract_x
_atom_site_fract_y
_atom_site_fract_z
Ba1 0.0000 0.0000 0.0000
Ho1 0.6667 0.3333 0.5000
Rh1 0.3333 0.6667 0.5000
O1 0.0391 0.3932 0.3034
# E_form (uncorrected), eV per atom: -1.70


Question: What is the formula in the eighth record?
Answer: BaHoRhO6